Record 1
# ZrCr2Br, optimized geometry, DFT PBE-GGA
data_ZrCr2Br
_chemical_formula_sum 'Zr4 Cr8 Br4'
_symmetry_space_group_name_H-M 'I -4 2 d'
_symmetry_Int_Tables_number 122
_symmetry_space_group_name_Hall 'I -4 2bw'
_cell_length_a 7.521
_cell_length_b 7.521
_cell_length_c 5.585
_cell_angle_alpha 90.00
_cell_angle_beta 90.00
_cell_angle_gamma 90.00
loop_
_atom_site_label
_atom_site_fract_x
_atom_site_fract_y
_atom_site_fract_z
Zr1 0.000 0.000 0.000
Cr1 0.215 0.250 0.625
Br1 0.000 0.000 0.500
# Raw formation energy   703 meV/atom

***

Record 2
# TlRh4, optimized geometry, DFT PBE-GGA
data_TlRh4
_chemical_formula_sum 'Tl2 Rh8'
_symmetry_space_group_name_H-M 'I 4/m m m'
_symmetry_Int_Tables_number 139
_symmetry_space_group_name_Hall '-I 4 2'
_cell_length_a 2.857
_cell_length_b 2.857
_cell_length_c 19.310
_cell_angle_alpha 90.00
_cell_angle_beta 90.00
_cell_angle_gamma 90.00
loop_
_atom_site_label
_atom_site_fract_x
_atom_site_fract_y
_atom_site_fract_z
Tl1 0.000 0.000 0.000
Rh1 0.000 0.000 0.203
Rh2 0.000 0.000 0.391
# ΔE_f   0.19 eV per atom

***

Number 1: offset from the most stable computed form 632 meV/atom, V 19.75 A^3/atom, D(E_F) 2.6 states/eV/f.u.. Number 2: offset from the most stable computed form 82 meV/atom, V 15.76 A^3/atom, D(E_F) 6.9 states/eV/f.u..